No. 1
Compound: LaMnPt2I
Source: the Alexandria database
Functional: meta-GGA SCAN
Structure: PBEsol geometry

a b c (Å): 5.205 5.205 6.009
angles (deg): 90.00 90.00 90.00
Element x y z (fractional)
I 0.000 0.000 0.500
Mn 0.500 0.500 0.500
Pt 0.000 0.500 0.000
Pt 0.500 0.000 0.000
La 0.000 0.000 0.000

Values from the calculation:
V = 32.560 Å³ per atom
E_form (uncorrected) = 0.481 eV/atom
space-group type = P4/mmm, No. 123
Fermi-level density of states = 0.71 states/eV per atom



No. 2
Compound: LaMnTl2I
Source: the Alexandria database
Functional: meta-GGA SCAN
Structure: PBEsol geometry

a b c (Å): 5.069 5.069 5.375
angles (deg): 90.00 90.00 90.00
Element x y z (fractional)
I 0.000 0.000 0.500
Tl 0.000 0.500 0.000
Tl 0.500 0.000 0.000
Mn 0.000 0.000 0.000
La 0.500 0.500 0.500

Values from the calculation:
V = 27.623 Å³ per atom
E_form (uncorrected) = -0.098 eV/atom
space-group type = P4/mmm, No. 123
Fermi-level density of states = 0.76 states/eV per atom



No. 3
Compound: LaMoI3
Source: the Alexandria database
Functional: meta-GGA SCAN
Structure: PBEsol geometry

a b c (Å): 6.137 6.137 6.137
angles (deg): 90.00 90.00 90.00
Element x y z (fractional)
I 0.000 0.500 0.000
I 0.000 0.000 0.500
I 0.500 0.000 0.000
Mo 0.500 0.500 0.500
La 0.000 0.000 0.000

Values from the calculation:
V = 46.238 Å³ per atom
E_form (uncorrected) = -0.153 eV/atom
space-group type = Pm-3m, No. 221



No. 4
Compound: LaI2N2
Source: the Alexandria database
Functional: meta-GGA SCAN
Structure: PBEsol geometry

a b c (Å): 4.396 4.396 5.644
angles (deg): 90.00 90.00 90.00
Element x y z (fractional)
I 0.000 0.000 0.000
I 0.000 0.000 0.500
N 0.000 0.500 0.000
N 0.500 0.000 0.000
La 0.500 0.500 0.500

Values from the calculation:
V = 21.818 Å³ per atom
E_form (uncorrected) = 1.105 eV/atom
space-group type = P4/mmm, No. 123
Fermi-level density of states = 0.56 states/eV per atom



No. 5
Compound: LaI3N
Source: the Alexandria database
Functional: meta-GGA SCAN
Structure: PBEsol geometry

a b c (Å): 6.214 6.214 6.214
angles (deg): 90.00 90.00 90.00
Element x y z (fractional)
I 0.000 0.500 0.000
I 0.000 0.000 0.500
I 0.500 0.000 0.000
N 0.500 0.500 0.500
La 0.000 0.000 0.000

Values from the calculation:
V = 47.997 Å³ per atom
E_form (uncorrected) = -0.322 eV/atom
space-group type = Pm-3m, No. 221
Fermi-level density of states = 0.00 states/eV per atom



No. 6
Compound: NaLaI2N
Source: the Alexandria database
Functional: meta-GGA SCAN
Structure: PBEsol geometry

a b c (Å): 4.167 6.424 6.424
angles (deg): 90.00 90.00 90.00
Element x y z (fractional)
I 0.000 0.000 0.500
I 0.000 0.500 0.000
Na 0.500 0.500 0.500
N 0.500 0.000 0.000
La 0.000 0.000 0.000

Values from the calculation:
V = 34.393 Å³ per atom
E_form (uncorrected) = -0.944 eV/atom
space-group type = P4/mmm, No. 123
Fermi-level density of states = 0.03 states/eV per atom



No. 7
Compound: LaIN2O
Source: the Alexandria database
Functional: meta-GGA SCAN
Structure: PBEsol geometry

a b c (Å): 4.005 4.387 4.387
angles (deg): 90.00 90.00 90.00
Element x y z (fractional)
I 0.500 0.000 0.000
N 0.000 0.000 0.500
N 0.000 0.500 0.000
O 0.000 0.000 0.000
La 0.500 0.500 0.500

Values from the calculation:
V = 15.417 Å³ per atom
E_form (uncorrected) = 0.804 eV/atom
space-group type = P4/mmm, No. 123
Fermi-level density of states = 0.41 states/eV per atom



No. 8
Compound: LaRhIN2
Source: the Alexandria database
Functional: meta-GGA SCAN
Structure: PBEsol geometry

a b c (Å): 4.107 4.107 6.668
angles (deg): 90.00 90.00 90.00
Element x y z (fractional)
I 0.000 0.000 0.500
N 0.000 0.500 0.000
N 0.500 0.000 0.000
Rh 0.500 0.500 0.500
La 0.000 0.000 0.000

Values from the calculation:
V = 22.494 Å³ per atom
E_form (uncorrected) = 0.927 eV/atom
space-group type = P4/mmm, No. 123
Fermi-level density of states = 0.45 states/eV per atom



No. 9
Compound: LaScI2N
Source: the Alexandria database
Functional: meta-GGA SCAN
Structure: PBEsol geometry

a b c (Å): 3.961 5.716 5.716
angles (deg): 90.00 90.00 90.00
Element x y z (fractional)
I 0.000 0.000 0.500
I 0.000 0.500 0.000
Sc 0.000 0.000 0.000
N 0.500 0.000 0.000
La 0.500 0.500 0.500

Values from the calculation:
V = 25.881 Å³ per atom
E_form (uncorrected) = -0.820 eV/atom
space-group type = P4/mmm, No. 123
Fermi-level density of states = 0.29 states/eV per atom



No. 10
Compound: LaYI2N
Source: the Alexandria database
Functional: meta-GGA SCAN
Structure: PBEsol geometry

a b c (Å): 4.127 5.926 5.926
angles (deg): 90.00 90.00 90.00
Element x y z (fractional)
I 0.000 0.000 0.500
I 0.000 0.500 0.000
Y 0.000 0.000 0.000
N 0.500 0.000 0.000
La 0.500 0.500 0.500

Values from the calculation:
V = 28.987 Å³ per atom
E_form (uncorrected) = -0.744 eV/atom
space-group type = P4/mmm, No. 123
Fermi-level density of states = 0.38 states/eV per atom



No. 11
Compound: LaZrI2N
Source: the Alexandria database
Functional: meta-GGA SCAN
Structure: PBEsol geometry

a b c (Å): 4.043 5.742 5.742
angles (deg): 90.00 90.00 90.00
Element x y z (fractional)
I 0.000 0.000 0.500
I 0.000 0.500 0.000
N 0.500 0.000 0.000
Zr 0.000 0.000 0.000
La 0.500 0.500 0.500

Values from the calculation:
V = 26.658 Å³ per atom
E_form (uncorrected) = -0.697 eV/atom
space-group type = P4/mmm, No. 123
Fermi-level density of states = 0.39 states/eV per atom



No. 12
Compound: La2Ni2I
Source: the Alexandria database
Functional: meta-GGA SCAN
Structure: PBEsol geometry

a b c (Å): 4.057 4.057 8.688
angles (deg): 90.00 90.00 120.00
Element x y z (fractional)
I 0.333 0.667 0.500
Ni 0.667 0.333 0.000
Ni 0.333 0.667 0.000
La 0.000 0.000 0.788
La 0.000 0.000 0.212

Values from the calculation:
V = 24.769 Å³ per atom
E_form (uncorrected) = -0.774 eV/atom
space-group type = P-6m2, No. 187
Fermi-level density of states = 1.01 states/eV per atom